No. 1
VASP calculation (GGA-PBE) on a geometry-optimized LiSiPt2 structure.

```
data_LiSiPt2
_space_group_name_H-M_alt 'R 3 m'
_space_group_IT_number 160
_space_group_name_Hall 'R 3 -2"'
_cell_length_a 3.9574
_cell_length_b 3.9574
_cell_length_c 13.7517
_cell_angle_alpha 90.00
_cell_angle_beta 90.00
_cell_angle_gamma 120.00
loop_
_atom_site_label
_atom_site_type_symbol
_atom_site_fract_x
_atom_site_fract_y
_atom_site_fract_z
_atom_site_occupancy
Li1 Li 0.0000 0.0000 0.0000 1
Si1 Si 0.0000 0.0000 0.1854 1
Pt1 Pt 0.0000 0.0000 0.5754 1
Pt2 Pt 0.0000 0.0000 0.7789 1
```

Theoretical density: 11357 kg/m³
Total magnetization: 0.0 μB per formula unit
Density of states at the Fermi level: 4.59 states/eV per cell
Raw formation energy: -0.589 eV/atom



No. 2
VASP calculation (GGA-PBE) on a geometry-optimized LiSm2Si3Pt12 structure.

```
data_LiSm2Si3Pt12
_space_group_name_H-M_alt 'R -3 m'
_space_group_IT_number 166
_space_group_name_Hall '-R 3 2"'
_cell_length_a 8.2543
_cell_length_b 8.2543
_cell_length_c 17.5995
_cell_angle_alpha 90.00
_cell_angle_beta 90.00
_cell_angle_gamma 120.00
loop_
_atom_site_label
_atom_site_type_symbol
_atom_site_fract_x
_atom_site_fract_y
_atom_site_fract_z
_atom_site_occupancy
Li1 Li 0.0000 0.0000 0.0000 1
Sm1 Sm 0.0000 0.0000 0.3837 1
Si1 Si 0.0000 0.5000 0.5000 1
Pt1 Pt 0.0023 0.5011 0.6311 1
Pt2 Pt 0.0259 0.5129 0.8689 1
```

Theoretical density: 13110 kg/m³
Total magnetization: 0.0 μB per formula unit
Density of states at the Fermi level: 17.20 states/eV per cell
Raw formation energy: -0.531 eV/atom



No. 3
VASP calculation (GGA-PBE) on a geometry-optimized LiSm2SiPt6 structure.

```
data_LiSm2SiPt6
_space_group_name_H-M_alt 'C 1 2/m 1'
_space_group_IT_number 12
_cell_length_a 9.781
_cell_length_b 5.641
_cell_length_c 7.841
_cell_angle_alpha 90.00
_cell_angle_beta 114.67
_cell_angle_gamma 90.00
loop_
_space_group_symop_operation_xyz
'x,y,z'
'-x,-y,-z'
'-x,y,-z'
'x,-y,z'
'x+1/2,y+1/2,z'
'-x+1/2,-y+1/2,-z'
'-x+1/2,y+1/2,-z'
'x+1/2,-y+1/2,z'
loop_
_atom_site_label
_atom_site_type_symbol
_atom_site_fract_x
_atom_site_fract_y
_atom_site_fract_z
_atom_site_occupancy
Li1 Li 0.000 0.000 0.000 1
Sm1 Sm 0.206 0.500 0.117 1
Si1 Si 0.000 0.500 0.500 1
Pt1 Pt 0.010 0.240 0.271 1
Pt2 Pt 0.249 0.500 0.729 1
```

Theoretical density: 12726 kg/m³
Total magnetization: 0.0 μB per formula unit
Density of states at the Fermi level: 6.28 states/eV per cell
Raw formation energy: -0.852 eV/atom